#1
Entry from the Alexandria database: an optimized crystal structure of CeErTc (PBE).

total moment	0.00	μB/f.u.
symmetry	No. 156
density of states at the Fermi level	3.8	states/eV/f.u.

a b c (Å): 4.7149 4.7149 3.4688
angles (deg): 90.00 90.00 120.00
With the nearest neighbours (Å) after each atom.
Positions (direct):
Ce 0.0000 0.0000 0.0000  3 Tc 2.83, 3 Er 3.11
Er 0.6667 0.3333 0.5664  3 Tc 2.97, 3 Ce 3.11
Tc 0.3333 0.6667 0.2252  3 Ce 2.83, 3 Er 2.97

=====

#2
Entry from the Alexandria database: an optimized crystal structure of CeErTc (PBE).

total moment	0.00	μB/f.u.
symmetry	No. 107
density of states at the Fermi level	3.3	states/eV/f.u.

a b c (Å): 6.8211 6.8211 6.8211
angles (deg): 151.15 151.15 41.26
With the nearest neighbours (Å) after each atom.
Positions (direct):
Ce 0.0000 0.0000 0.0000  4 Tc 2.88
Er 0.7381 0.7381 0.0000  4 Tc 2.98
Tc 0.3763 0.3763 0.0000  4 Ce 2.88, 4 Er 2.98

=====

Last place for stability: #1

=====

#1
Entry from the Alexandria database: an optimized crystal structure of CeEr2Te (PBE).

total moment	1.88	μB/f.u.
symmetry	No. 160
density of states at the Fermi level	7.3	states/eV/f.u.

a b c (Å): 10.1798 10.1798 10.1798
angles (deg): 21.58 21.58 21.58
With the nearest neighbours (Å) after each atom.
Positions (direct):
Ce 0.0000 0.0000 0.0000  6 Er 3.58-3.60, 6 Ce 3.81
Er 0.5719 0.5719 0.5719  3 Te 3.07
Er 0.7622 0.7622 0.7622  3 Te 3.06
Te 0.1670 0.1670 0.1670  6 Er 3.06-3.07

=====

#2
Entry from the Alexandria database: an optimized crystal structure of CeEr2Te (PBE).

total moment	0.57	μB/f.u.
symmetry	No. 123
density of states at the Fermi level	5.9	states/eV/f.u.

a b c (Å): 3.8101 3.8101 7.8438
angles (deg): 90.00 90.00 90.00
With the nearest neighbours (Å) after each atom.
Positions (direct):
Ce 0.0000 0.0000 0.0000  8 Er 3.45, 4 Ce 3.81
Er 0.5000 0.5000 0.2749  4 Te 3.22, 4 Ce 3.45, 1 Er 3.53
Er 0.5000 0.5000 0.7251  4 Te 3.22, 4 Ce 3.45, 1 Er 3.53
Te 0.0000 0.0000 0.5000  8 Er 3.22

=====

#3
Entry from the Alexandria database: an optimized crystal structure of CeEr2Te (PBE).

total moment	2.54	μB/f.u.
symmetry	No. 166
density of states at the Fermi level	9.8	states/eV/f.u.

a b c (Å): 10.9453 10.9453 10.9453
angles (deg): 19.76 19.76 19.76
With the nearest neighbours (Å) after each atom.
Positions (direct):
Ce 0.0000 0.0000 0.0000  2 Er 3.27
Er 0.1015 0.1015 0.1015  3 Te 3.02, 1 Ce 3.27
Er 0.8985 0.8985 0.8985  3 Te 3.02, 1 Ce 3.27
Te 0.5000 0.5000 0.5000  6 Er 3.02

=====

#4
Entry from the Alexandria database: an optimized crystal structure of CeEr2Te (PBE).

total moment	0.71	μB/f.u.
symmetry	No. 123
density of states at the Fermi level	7.4	states/eV/f.u.

a b c (Å): 4.7899 4.7899 4.6887
angles (deg): 90.00 90.00 90.00
With the nearest neighbours (Å) after each atom.
Positions (direct):
Ce 0.0000 0.0000 0.0000  8 Er 3.35, 4 Te 3.39
Er 0.0000 0.5000 0.5000  4 Te 3.35, 4 Ce 3.35, 4 Er 3.39
Er 0.5000 0.0000 0.5000  4 Te 3.35, 4 Ce 3.35, 4 Er 3.39
Te 0.5000 0.5000 0.0000  8 Er 3.35, 4 Ce 3.39

=====

Last place for stability: #3